(1)
The following is a PBE-GGA calculation of crystalline OsCl at its relaxed geometry, from the Alexandria database.

a b c (Å): 2.9518 2.9860 8.9117
angles (deg): 90.00 90.00 90.00
Last column: nearest neighbours and their distance in Å.
Fractional positions:
Os 0.2500 0.2500 0.0844  2 Cl 2.44, 4 Os 2.58
Os 0.7500 0.7500 0.9156  2 Cl 2.44, 4 Os 2.58
Cl 0.2500 0.7500 0.6972  2 Os 2.44
Cl 0.7500 0.2500 0.3028  2 Os 2.44

**ρ**: 9.5 g cm⁻³
**Energy**: -25.57 eV for the cell shown
**Raw formation energy**: 0.146 eV/atom
**Fermi-level density of states**: 0.61 states/eV per atom



(2)
The following is a PBE-GGA calculation of crystalline CaPm3Pr7 at its relaxed geometry, from the Alexandria database.

a b c (Å): 7.9398 7.9398 6.6660
angles (deg): 93.53 93.53 81.80
Last column: nearest neighbours and their distance in Å.
Fractional positions:
Ca 0.0000 0.0000 0.0000  4 Pr 3.33-3.60
Pm 0.3306 0.6694 0.5000  7 Pr 3.44-3.68, 3 Pm 3.52-3.77
Pm 0.5000 0.5000 0.0000  6 Pr 3.54-3.79, 4 Pm 3.77
Pm 0.6694 0.3306 0.5000  7 Pr 3.44-3.68, 3 Pm 3.52-3.77
Pr 0.0000 0.0000 0.5000  2 Ca 3.33, 2 Pm 3.44, 2 Pr 3.59
Pr 0.0734 0.4191 0.7559  6 Pr 3.42-3.78, 3 Pm 3.61-3.79
Pr 0.2661 0.2661 0.2915  5 Pr 3.42-3.60, 3 Pm 3.50-3.54, 1 Ca 3.60
Pr 0.4191 0.0734 0.7559  6 Pr 3.42-3.78, 3 Pm 3.61-3.79
Pr 0.5809 0.9266 0.2441  6 Pr 3.42-3.78, 3 Pm 3.61-3.79
Pr 0.7339 0.7339 0.7085  5 Pr 3.42-3.60, 3 Pm 3.50-3.54, 1 Ca 3.60
Pr 0.9266 0.5809 0.2441  6 Pr 3.42-3.78, 3 Pm 3.61-3.79

**ρ**: 5.9 g cm⁻³
**DFT formation energy**: 0.21 eV per atom
**Energy**: -47.38 eV for the cell shown
**Fermi-level density of states**: 1.35 states/eV per atom



Across the entries above, distance to the lowest polymorph of the same formula takes the values 22; 0 meV per atom, respectively.